No. 1
UTl3Cu2Se6 | PBE | relaxed

theoretical density	7.27	g/cm³
formation energy (no corrections)	-5.9	eV/f.u.
DFT total energy	-4.452	eV per atom
total magnetization	0.00	μB/f.u.
volume	331	Å³/f.u.
DOS at the Fermi energy	0.527	states/eV/atom
crystal system	monoclinic

Lattice parameters (Å, degrees): 8.0382 8.0382 7.5337 97.80 97.80 133.51
Fractional positions:
Cu 0.5878 0.4122 0.0000
Cu 0.4122 0.5878 0.0000
Se 0.8606 0.5829 0.8127
Se 0.2010 0.2010 0.7401
Se 0.1394 0.4171 0.1873
Se 0.5829 0.8606 0.8127
Se 0.4171 0.1394 0.1873
Se 0.7990 0.7990 0.2599
U 0.0000 0.0000 0.0000
Tl 0.1812 0.8188 0.5000
Tl 0.5000 0.5000 0.5000
Tl 0.8188 0.1812 0.5000



No. 2
U3Tl4CuSe8 | PBE | relaxed

theoretical density	8.07	g/cm³
formation energy (no corrections)	-12.1	eV/f.u.
DFT total energy	-5.464	eV per atom
total magnetization	7.00	μB/f.u.
volume	458	Å³/f.u.
DOS at the Fermi energy	0.765	states/eV/atom
crystal system	monoclinic

Lattice parameters (Å, degrees): 8.1921 9.1867 8.2048 116.56 119.95 90.00
Fractional positions:
Se 0.2612 0.3022 0.0319
Se 0.2640 0.2916 0.5279
Se 0.7360 0.7084 0.4721
Se 0.7690 0.3010 0.5381
Se 0.2310 0.6990 0.4619
Se 0.7388 0.6978 0.9681
Se 0.7706 0.3022 0.0319
Se 0.2294 0.6978 0.9681
U 0.0000 0.5000 0.5000
U 0.5000 0.5000 0.5000
U 0.5000 0.5000 0.0000
Tl 0.5000 0.0000 0.0000
Tl 0.0000 0.0000 0.0000
Tl 0.0000 0.0000 0.5000
Tl 0.5000 0.0000 0.5000
Cu 0.0000 0.5000 0.0000



No. 3
UTl2Cu2Se4 | PBE | relaxed

theoretical density	7.86	g/cm³
formation energy (no corrections)	-5.6	eV/f.u.
DFT total energy	-4.865	eV per atom
total magnetization	2.00	μB/f.u.
volume	230	Å³/f.u.
DOS at the Fermi energy	0.490	states/eV/atom
crystal system	monoclinic

Lattice parameters (Å, degrees): 4.0773 8.0635 7.6689 108.04 105.42 90.00
Fractional positions:
Tl 0.1380 0.5762 0.2760
Tl 0.8620 0.4238 0.7240
Se 0.8008 0.8211 0.6016
Se 0.5229 0.7690 0.0459
Se 0.4771 0.2310 0.9541
Se 0.1992 0.1789 0.3985
Cu 0.3168 0.0099 0.6336
Cu 0.6832 0.9901 0.3664
U 0.0000 0.0000 0.0000



No. 4
U2Tl2CuSe6 | PBE | relaxed

theoretical density	6.83	g/cm³
formation energy (no corrections)	-8.4	eV/f.u.
DFT total energy	-5.520	eV per atom
total magnetization	3.00	μB/f.u.
volume	346	Å³/f.u.
DOS at the Fermi energy	1.028	states/eV/atom
crystal system	monoclinic

Lattice parameters (Å, degrees): 7.3199 7.3199 8.1160 97.10 97.10 124.47
Fractional positions:
Se 0.2421 0.2421 0.3311
Se 0.0556 0.4321 0.7096
Se 0.7579 0.7579 0.6689
Se 0.5679 0.9444 0.2904
Se 0.4321 0.0556 0.7096
Se 0.9444 0.5679 0.2904
U 0.6625 0.3375 0.5000
U 0.3375 0.6625 0.5000
Cu 0.0000 0.0000 0.5000
Tl 0.1538 0.8462 0.0000
Tl 0.8462 0.1538 0.0000



No. 5
UTlCuSe3 | PBE | relaxed

theoretical density	7.37	g/cm³
formation energy (no corrections)	-4.7	eV/f.u.
DFT total energy	-5.477	eV per atom
total magnetization	2.00	μB/f.u.
volume	167	Å³/f.u.
DOS at the Fermi energy	1.011	states/eV/atom
crystal system	monoclinic

Lattice parameters (Å, degrees): 4.0762 9.1711 9.4684 108.94 90.00 90.00
Fractional positions:
Se 0.7500 0.4598 0.1580
Se 0.2500 0.5402 0.8420
Se 0.7500 0.2071 0.5287
Se 0.7500 0.8857 0.1384
Se 0.2500 0.7929 0.4713
Se 0.2500 0.1143 0.8616
U 0.2500 0.6803 0.1615
U 0.7500 0.3197 0.8385
Tl 0.2500 0.1996 0.2434
Tl 0.7500 0.8004 0.7566
Cu 0.2500 0.0812 0.5912
Cu 0.7500 0.9188 0.4088



No. 6
UTl2CuSe4 | PBE | relaxed

theoretical density	7.97	g/cm³
formation energy (no corrections)	-4.8	eV/f.u.
DFT total energy	-4.852	eV per atom
total magnetization	1.00	μB/f.u.
volume	214	Å³/f.u.
DOS at the Fermi energy	0.710	states/eV/atom
crystal system	monoclinic

Lattice parameters (Å, degrees): 4.1640 8.2246 6.5035 73.67 90.00 90.00
Fractional positions:
Tl 0.5000 0.0000 0.5000
Tl 0.0000 0.0000 0.0000
U 0.0000 0.5000 0.5000
Se 0.0000 0.7011 0.7613
Se 0.5000 0.6932 0.2520
Se 0.5000 0.3068 0.7480
Se 0.0000 0.2989 0.2387
Cu 0.5000 0.5000 0.0000



No. 7
Tl3Cu2WSe6 | PBE | relaxed

theoretical density	8.17	g/cm³
formation energy (no corrections)	-2.0	eV/f.u.
DFT total energy	-4.266	eV per atom
total magnetization	0.00	μB/f.u.
volume	284	Å³/f.u.
DOS at the Fermi energy	0.658	states/eV/atom
crystal system	monoclinic

Lattice parameters (Å, degrees): 6.6842 6.6842 7.6626 98.48 98.48 119.76
Fractional positions:
W 0.0000 0.0000 0.0000
Tl 0.8369 0.1631 0.5000
Tl 0.5000 0.5000 0.5000
Tl 0.1631 0.8369 0.5000
Se 0.3846 0.0582 0.1836
Se 0.6154 0.9418 0.8164
Se 0.9418 0.6154 0.8164
Se 0.2674 0.2674 0.8189
Se 0.0582 0.3846 0.1836
Se 0.7326 0.7326 0.1811
Cu 0.6682 0.3318 0.0000
Cu 0.3318 0.6682 0.0000



No. 8
Tl3Cu3WSe8 | PBE | relaxed

theoretical density	7.48	g/cm³
formation energy (no corrections)	-2.6	eV/f.u.
DFT total energy	-4.185	eV per atom
total magnetization	0.00	μB/f.u.
volume	360	Å³/f.u.
DOS at the Fermi energy	0.737	states/eV/atom
crystal system	monoclinic

Lattice parameters (Å, degrees): 7.6581 7.6440 8.3770 117.37 90.00 120.06
Fractional positions:
Se 0.2248 0.9696 0.6969
Se 0.7731 0.5462 0.3002
Se 0.2269 0.4538 0.6998
Se 0.7448 0.9696 0.6969
Se 0.2801 0.5601 0.3401
Se 0.7752 0.0304 0.3031
Se 0.2552 0.0304 0.3031
Se 0.7199 0.4399 0.6599
Cu 0.5000 0.5000 0.5000
Cu 0.0000 0.5000 0.5000
Cu 0.5000 0.0000 0.5000
Tl 0.0000 0.0000 0.0000
Tl 0.0000 0.5000 0.0000
Tl 0.5000 0.5000 0.0000
W 0.0000 0.0000 0.5000



No. 9
Tl2CuWSe | PBE | relaxed

theoretical density	8.41	g/cm³
formation energy (no corrections)	4.0	eV/f.u.
DFT total energy	-4.259	eV per atom
total magnetization	0.00	μB/f.u.
volume	145	Å³/f.u.
DOS at the Fermi energy	0.935	states/eV/atom
crystal system	tetragonal

Lattice parameters (Å, degrees): 5.5410 4.7278 5.5410 90.00 90.00 90.00
Fractional positions:
Tl 0.5000 0.0000 0.0000
Tl 0.0000 0.0000 0.5000
Cu 0.5000 0.5000 0.5000
W 0.0000 0.0000 0.0000
Se 0.0000 0.5000 0.0000



No. 10
YTlCuSe3 | PBE | relaxed

theoretical density	6.19	g/cm³
formation energy (no corrections)	-5.2	eV/f.u.
DFT total energy	-4.760	eV per atom
total magnetization	0.00	μB/f.u.
volume	159	Å³/f.u.
DOS at the Fermi energy	0.071	states/eV/atom
crystal system	monoclinic

Lattice parameters (Å, degrees): 4.8450 8.1985 8.5656 100.99 90.00 107.19
Fractional positions:
Se 0.8562 0.7125 0.2400
Se 0.5028 0.0055 0.2817
Se 0.1700 0.3401 0.3422
Se 0.4972 0.9945 0.7183
Se 0.1438 0.2875 0.7600
Se 0.8300 0.6599 0.6578
Tl 0.3494 0.6988 0.9474
Tl 0.6506 0.3012 0.0526
Y 0.6442 0.2884 0.5551
Y 0.3558 0.7116 0.4449
Cu 0.9877 0.9754 0.7004
Cu 0.0123 0.0246 0.2996



No. 11
Y2Tl3CuSe6 | PBE | relaxed

theoretical density	6.70	g/cm³
formation energy (no corrections)	-10.8	eV/f.u.
DFT total energy	-4.653	eV per atom
total magnetization	0.00	μB/f.u.
volume	329	Å³/f.u.
DOS at the Fermi energy	0.662	states/eV/atom
crystal system	monoclinic

Lattice parameters (Å, degrees): 7.0748 7.0748 7.9564 100.08 100.08 118.45
Fractional positions:
Cu 0.0000 0.0000 0.0000
Tl 0.1820 0.8180 0.5000
Tl 0.8180 0.1820 0.5000
Tl 0.5000 0.5000 0.5000
Se 0.7363 0.7363 0.2371
Se 0.9360 0.6344 0.8118
Se 0.6344 0.9360 0.8118
Se 0.3656 0.0640 0.1882
Se 0.2637 0.2637 0.7629
Se 0.0640 0.3656 0.1882
Y 0.3379 0.6621 0.0000
Y 0.6621 0.3379 0.0000



No. 12
YTlCuSe2 | PBE | relaxed

theoretical density	5.92	g/cm³
formation energy (no corrections)	-3.6	eV/f.u.
DFT total energy	-4.709	eV per atom
total magnetization	0.00	μB/f.u.
volume	144	Å³/f.u.
DOS at the Fermi energy	0.395	states/eV/atom
crystal system	monoclinic

Lattice parameters (Å, degrees): 5.8240 6.6530 7.7082 104.63 90.00 90.00
Fractional positions:
Tl 0.7980 0.5000 0.2500
Tl 0.2020 0.5000 0.7500
Se 0.2855 0.2492 0.0695
Se 0.7145 0.2492 0.5695
Se 0.2855 0.7508 0.4305
Se 0.7145 0.7508 0.9305
Cu 0.0000 0.0000 0.5000
Cu 0.0000 0.0000 0.0000
Y 0.4730 0.0000 0.7500
Y 0.5270 0.0000 0.2500



No. 13
Y3Tl3CuSe8 | PBE | relaxed

theoretical density	5.82	g/cm³
formation energy (no corrections)	-15.1	eV/f.u.
DFT total energy	-4.905	eV per atom
total magnetization	0.00	μB/f.u.
volume	450	Å³/f.u.
DOS at the Fermi energy	0.643	states/eV/atom
crystal system	monoclinic

Lattice parameters (Å, degrees): 8.1977 8.1973 9.0593 116.91 90.00 120.00
Fractional positions:
Se 0.7366 0.4732 0.7093
Se 0.2183 0.9733 0.6928
Se 0.7830 0.5661 0.3092
Se 0.2170 0.4339 0.6908
Se 0.2450 0.0267 0.3072
Se 0.7550 0.9733 0.6928
Se 0.2634 0.5268 0.2907
Se 0.7817 0.0267 0.3072
Tl 0.5000 0.5000 0.0000
Tl 0.0000 0.0000 0.0000
Tl 0.0000 0.5000 0.0000
Y 0.0000 0.5000 0.5000
Y 0.5000 0.5000 0.5000
Y 0.5000 0.0000 0.5000
Cu 0.0000 0.0000 0.5000



No. 14
TlZnCu3Se4 | PBE | relaxed

theoretical density	6.20	g/cm³
formation energy (no corrections)	-0.3	eV/f.u.
DFT total energy	-3.357	eV per atom
total magnetization	0.00	μB/f.u.
volume	208	Å³/f.u.
DOS at the Fermi energy	0.701	states/eV/atom
crystal system	cubic

Lattice parameters (Å, degrees): 5.9249 5.9249 5.9249 90.00 90.00 90.00
Fractional positions:
Tl 0.0000 0.0000 0.0000
Se 0.7373 0.2627 0.7373
Se 0.2627 0.2627 0.2627
Se 0.7373 0.7373 0.2627
Se 0.2627 0.7373 0.7373
Cu 0.5000 0.0000 0.0000
Cu 0.0000 0.0000 0.5000
Cu 0.0000 0.5000 0.0000
Zn 0.5000 0.5000 0.5000



No. 15
TlZnCuSe2 | PBE | relaxed

theoretical density	6.50	g/cm³
formation energy (no corrections)	-1.9	eV/f.u.
DFT total energy	-3.312	eV per atom
total magnetization	0.00	μB/f.u.
volume	125	Å³/f.u.
crystal system	monoclinic

Lattice parameters (Å, degrees): 6.1220 7.4477 6.0328 114.15 90.00 90.00
Fractional positions:
Se 0.2805 0.7769 0.3876
Se 0.7195 0.2231 0.6124
Se 0.7195 0.7769 0.8876
Se 0.2805 0.2231 0.1124
Zn 0.5003 0.0000 0.7500
Zn 0.4997 0.0000 0.2500
Tl 0.7665 0.5000 0.2500
Tl 0.2335 0.5000 0.7500
Cu 0.0000 0.0000 0.0000
Cu 0.0000 0.0000 0.5000



No. 16
ZrTlCuSe3 | PBE | relaxed

theoretical density	6.43	g/cm³
formation energy (no corrections)	-5.2	eV/f.u.
DFT total energy	-5.111	eV per atom
total magnetization	0.00	μB/f.u.
volume	154	Å³/f.u.
DOS at the Fermi energy	0.010	states/eV/atom
crystal system	monoclinic

Lattice parameters (Å, degrees): 3.9010 8.8631 9.5761 111.51 90.00 90.00
Fractional positions:
Se 0.2500 0.1116 0.8643
Se 0.7500 0.4638 0.1475
Se 0.2500 0.5362 0.8525
Se 0.7500 0.8884 0.1357
Se 0.2500 0.7780 0.4617
Se 0.7500 0.2220 0.5383
Zr 0.2500 0.6893 0.1668
Zr 0.7500 0.3107 0.8332
Cu 0.2500 0.0832 0.6001
Cu 0.7500 0.9168 0.3999
Tl 0.7500 0.7776 0.7454
Tl 0.2500 0.2224 0.2546



No. 17
ZrTlCuSe3 | PBE | relaxed

theoretical density	6.69	g/cm³
formation energy (no corrections)	-5.2	eV/f.u.
DFT total energy	-5.114	eV per atom
total magnetization	0.00	μB/f.u.
volume	148	Å³/f.u.
DOS at the Fermi energy	0.000	states/eV/atom
crystal system	orthorhombic

Lattice parameters (Å, degrees): 3.8834 7.7083 10.2078 90.00 90.00 104.59
Fractional positions:
Se 0.6244 0.2488 0.0521
Se 0.9321 0.8642 0.2500
Se 0.3756 0.7512 0.5521
Se 0.0679 0.1358 0.7500
Se 0.3756 0.7512 0.9479
Se 0.6244 0.2488 0.4479
Tl 0.2475 0.4955 0.2500
Tl 0.7525 0.5045 0.7500
Zr 0.0000 0.0000 0.5000
Zr 0.0000 0.0000 0.0000
Cu 0.4663 0.9326 0.7500
Cu 0.5337 0.0674 0.2500



No. 18
Zr2Tl3CuSe6 | PBE | relaxed

theoretical density	7.08	g/cm³
formation energy (no corrections)	-9.5	eV/f.u.
DFT total energy	-4.892	eV per atom
total magnetization	0.00	μB/f.u.
volume	313	Å³/f.u.
crystal system	monoclinic

Lattice parameters (Å, degrees): 6.8206 6.8206 8.0909 97.97 97.97 120.14
Fractional positions:
Se 0.3985 0.0642 0.1951
Se 0.6015 0.9358 0.8049
Se 0.9358 0.6015 0.8049
Se 0.0642 0.3985 0.1951
Se 0.7330 0.7330 0.1915
Se 0.2670 0.2670 0.8085
Zr 0.3338 0.6662 0.0000
Zr 0.6662 0.3338 0.0000
Tl 0.1674 0.8326 0.5000
Tl 0.8326 0.1674 0.5000
Tl 0.5000 0.5000 0.5000
Cu 0.0000 0.0000 0.0000



No. 19
Zr3Tl4CuSe8 | PBE | relaxed

theoretical density	7.11	g/cm³
formation energy (no corrections)	-13.3	eV/f.u.
DFT total energy	-5.024	eV per atom
total magnetization	0.00	μB/f.u.
volume	417	Å³/f.u.
DOS at the Fermi energy	0.334	states/eV/atom
crystal system	monoclinic

Lattice parameters (Å, degrees): 7.8173 9.0765 7.8243 115.55 119.97 90.00
Fractional positions:
Se 0.2287 0.6923 0.9636
Se 0.2651 0.3077 0.0364
Se 0.7713 0.3077 0.0364
Se 0.7712 0.3075 0.5424
Se 0.7349 0.6923 0.9636
Se 0.2663 0.2984 0.5326
Se 0.7337 0.7016 0.4674
Se 0.2288 0.6925 0.4576
Zr 0.0000 0.5000 0.5000
Zr 0.5000 0.5000 0.5000
Zr 0.5000 0.5000 0.0000
Tl 0.0000 0.0000 0.0000
Tl 0.5000 0.0000 0.5000
Tl 0.5000 0.0000 0.0000
Tl 0.0000 0.0000 0.5000
Cu 0.0000 0.5000 0.0000



No. 20
TmCu3Se3 | PBE | relaxed

theoretical density	7.18	g/cm³
formation energy (no corrections)	-5.1	eV/f.u.
DFT total energy	-4.613	eV per atom
total magnetization	0.00	μB/f.u.
volume	138	Å³/f.u.
crystal system	trigonal

Lattice parameters (Å, degrees): 6.9739 6.9739 7.6921 63.04 63.04 60.00
Fractional positions:
Se 0.7587 0.4042 0.7587
Se 0.9216 0.2413 0.2413
Se 0.4042 0.0784 0.7587
Se 0.5958 0.9216 0.2413
Se 0.2413 0.5958 0.2413
Se 0.0784 0.7587 0.7587
Cu 0.2300 0.8707 0.3763
Cu 0.5230 0.2300 0.3763
Cu 0.7700 0.1293 0.6237
Cu 0.4770 0.7700 0.6237
Cu 0.8707 0.5230 0.3763
Cu 0.1293 0.4770 0.6237
Tm 0.3338 0.3338 0.9986
Tm 0.6662 0.6662 0.0014